The following is a PBE calculation of a relaxed La4Ge3Au crystal, from Alexandria via LeMat-Bulk.

Properties
Mass density ... 7.3 g/cm³
Raw total energy ... -5.42 eV/atom

Lattice parameters (Å, degrees): 4.4637 4.3065 11.5018 90.00 90.00 90.00
Site moments in Bohr magnetons follow the coordinates.
Atoms (fractional coordinates):
Ge 0.0000 0.5000 0.5800  0.00
Ge 0.0000 0.0000 0.4223  0.00
Ge 0.5000 0.0000 0.9188  -0.01
Au 0.5000 0.5000 0.0786  0.00
La 0.5000 0.5000 0.3641  -0.01
La 0.0000 0.5000 0.8606  0.07
La 0.0000 0.0000 0.1370  -0.01
La 0.5000 0.0000 0.6386  0.07

The following is a PBE calculation of a relaxed LaGeAu6 crystal, from Alexandria via LeMat-Bulk.

Properties
Mass density ... 11.5 g/cm³
Raw total energy ... -3.86 eV/atom

Lattice parameters (Å, degrees): 5.6029 5.6029 8.0797 69.71 69.71 60.00
Atoms (fractional coordinates):
La 0.5000 0.5000 0.5000
Ge 0.0000 0.0000 0.0000
Au 0.9241 0.9241 0.7195
Au 0.4322 0.9241 0.7195
Au 0.0759 0.5678 0.2805
Au 0.5678 0.0759 0.2805
Au 0.0759 0.0759 0.2805
Au 0.9241 0.4322 0.7195

The following is a PBE calculation of a relaxed LaGe2Au6 crystal, from Alexandria via LeMat-Bulk.

Properties
Mass density ... 11.5 g/cm³
Raw total energy ... -3.94 eV/atom

Lattice parameters (Å, degrees): 5.6722 5.6722 7.6141 90.00 90.00 120.00
Atoms (fractional coordinates):
La 0.0000 0.0000 0.0000
Ge 0.3333 0.6667 0.5000
Ge 0.6667 0.3333 0.5000
Au 0.5003 0.0000 0.2029
Au 0.4997 0.4997 0.2029
Au 0.0000 0.5003 0.2029
Au 0.5003 0.5003 0.7971
Au 0.0000 0.4997 0.7971
Au 0.4997 0.0000 0.7971

The following is a PBE calculation of a relaxed La4GeAu3 crystal, from Alexandria via LeMat-Bulk.

Properties
Mass density ... 9.0 g/cm³
Raw total energy ... -5.08 eV/atom

Lattice parameters (Å, degrees): 4.1762 4.6999 11.4344 90.00 90.00 90.00
Atoms (fractional coordinates):
Ge 0.5000 0.5000 0.0863
Au 0.0000 0.5000 0.5878
Au 0.0000 0.0000 0.4169
Au 0.5000 0.0000 0.9140
La 0.5000 0.5000 0.3568
La 0.0000 0.5000 0.8677
La 0.0000 0.0000 0.1355
La 0.5000 0.0000 0.6351

- What is the mass density in the second record?
  11.5 g/cm³